[1]
The following is a PBE calculation of a geometry-optimized YCuHgGe structure, from OQMD via LeMat-Bulk.

Values from the calculation:
As for the electronic total energy: -15.72 eV per formula unit. The value obtained for the relative energy among the computed polymorphs is 0.0712 eV per atom. The size of the total moment comes out at 0.000 μB per formula unit.

Cell lengths 6.881, 6.881, 6.881 Å; angles 90.00, 90.00, 90.00 degrees
Space group F-43m (No. 216)
Symmetry-distinct sites (fractional):
Y (0.000, 0.000, 0.000)
Cu (0.250, 0.250, 0.750)
Hg (0.250, 0.250, 0.250)
Ge (0.000, 0.000, 0.500)

=====

[2]
The following is a PBE calculation of a geometry-optimized GdTmAl4Ni2 structure, from OQMD via LeMat-Bulk.

Values from the calculation:
As for the electronic total energy: -40.36 eV per formula unit. The size of the total moment comes out at 0.000 μB per formula unit.

Cell lengths 6.874, 4.054, 10.159 Å; angles 90.00, 90.00, 90.00 degrees
Space group Amm2 (No. 38)
Symmetry-distinct sites (fractional):
Gd (0.000, 0.000, 0.000)
Tm (0.500, 0.000, 0.122)
Al (0.197, 0.000, 0.717)
Al (0.305, 0.000, 0.404)
Ni (0.000, 0.000, 0.277)
Ni (0.500, 0.000, 0.846)

=====

[3]
The following is a PBE calculation of a geometry-optimized HgSe structure, from OQMD via LeMat-Bulk.

Values from the calculation:
As for the electronic total energy: -4.12 eV per formula unit.

Cell lengths 4.3535, 4.3535, 9.8024 Å; angles 90.00, 90.00, 120.00 degrees
Space group P3_221 (No. 154)
Symmetry-distinct sites (fractional):
Hg (0.0000, 0.3191, 0.3333)
Se (0.0000, 0.4814, 0.8333)

=====

[4]
The following is a PBE calculation of a geometry-optimized CuTc3Hg2 structure, from OQMD via LeMat-Bulk.

Values from the calculation:
The formation energy is 912 meV per atom. As for the electronic total energy: -29.92 eV per formula unit. The size of the total moment comes out at 1.793 μB per formula unit.

Cell lengths 4.1687, 4.1687, 6.7998 Å; angles 90.00, 90.00, 120.00 degrees
Space group P-3m1 (No. 164)
Symmetry-distinct sites (fractional):
Cu (0.0000, 0.0000, 0.0000)
Tc (0.0000, 0.0000, 0.5000)
Tc (0.3333, 0.6667, 0.9132)
Hg (0.3333, 0.6667, 0.3211)

=====

What is the electronic total energy in the third record? -4.12 eV per formula unit

=====

The highest electronic total energy belongs to which entry? HgSe

=====

Please write out number 3 again, unchanged.
The following is a PBE calculation of a geometry-optimized HgSe structure, from OQMD via LeMat-Bulk.

Values from the calculation:
As for the electronic total energy: -4.12 eV per formula unit.

Cell lengths 4.3535, 4.3535, 9.8024 Å; angles 90.00, 90.00, 120.00 degrees
Space group P3_221 (No. 154)
Symmetry-distinct sites (fractional):
Hg (0.0000, 0.3191, 0.3333)
Se (0.0000, 0.4814, 0.8333)

=====

Among the records above, which one has the highest electronic total energy? HgSe